Ta2Zn2WO8 | the Alexandria database | PBE with a Hubbard U | optimized geometry; electronic total energy = -100.38 eV per formula unit
1.0
-4.915 -0.908 1.901
1.577 -5.674 1.016
2.544 5.064 8.533
Ta Zn W O
4 4 2 16
direct
0.269 0.039 0.760
0.195 0.242 0.240
0.752 0.988 0.228
0.767 0.731 0.766
0.218 0.845 0.405
0.261 0.445 0.563
0.768 0.138 0.551
0.707 0.568 0.427
0.269 0.641 0.000
0.758 0.344 0.005
0.945 0.042 0.864
0.555 0.170 0.135
0.086 0.914 0.133
0.446 0.817 0.861
0.417 0.312 0.881
0.107 0.428 0.119
0.612 0.672 0.115
0.912 0.562 0.881
0.578 0.945 0.654
0.910 0.290 0.376
0.636 0.468 0.619
0.849 0.851 0.390
0.344 0.540 0.392
0.135 0.176 0.622
0.077 0.731 0.657
0.419 0.077 0.354